Computed, not measured: a relaxed RhPb5 crystal at the PBE level of DFT.

Lattice parameters (Å, degrees): 7.3042 7.3042 4.9923 90.00 90.00 142.09
With the nearest neighbours (Å) after each atom.
Element x y z (fractional)
1 Rh 0.0000 0.0000 0.0000  12 Pb 3.10-3.44
2 Pb 0.1539 0.8461 0.5000  8 Pb 3.19-3.56, 2 Rh 3.28
3 Pb 0.3557 0.6443 0.0000  2 Rh 3.10, 6 Pb 3.19-3.45
4 Pb 0.5000 0.5000 0.5000  8 Pb 3.19, 4 Rh 3.44
5 Pb 0.6443 0.3557 0.0000  2 Rh 3.10, 6 Pb 3.19-3.45
6 Pb 0.8461 0.1539 0.5000  8 Pb 3.19-3.56, 2 Rh 3.28

* raw total energy: -25.19 eV for the cell shown
* total magnetic moment: 0.00 μB/atom
* energy relative to the elements: 117 meV per atom
* polymorph energy (0 for the lowest one): 112 meV per atom
* V: 164 Å³/cell